No. 1
A relaxed structure of Nd2AlGe. Source: Alexandria, functional PBE.

The structure belongs to space group Amm2 (No. 38); the cell edges are 4.124, 4.507 and 11.362 Å and the angles 90.00°, 90.00° and 90.00°. The asymmetric unit holds Nd at (0.000, 0.000, 0.000), Nd at (0.500, 0.000, 0.284), Al at (0.000, 0.000, 0.711) and Ge at (0.500, 0.000, 0.567).

No. 2
A relaxed structure of Nd2AlGe3. Source: Alexandria, functional PBE.

The calculation puts the energy relative to the lowest polymorph listed for this composition at 0.000 eV/atom.

The structure belongs to space group Pmm2 (No. 25); the cell edges are 4.138, 4.292 and 7.735 Å and the angles 90.00°, 90.00° and 90.00°. The asymmetric unit holds Nd at (0.000, 0.000, 0.000), Nd at (0.000, 0.500, 0.490), Al at (0.500, 0.500, 0.828), Ge at (0.500, 0.000, 0.329), Ge at (0.500, 0.000, 0.667) and Ge at (0.500, 0.500, 0.151).

| no. | E_tot (eV per atom) | formation energy from the elements (eV/atom) | volume (Å³/atom) |
| --- | --- | --- | --- |
| 1 | -5.137 | -0.66 | 26.4 |
| 2 | -5.137 | -0.62 | 22.9 |